! PBE K3LiCe2S6, relaxed; values from VASP
! ΔE_f (raw) (kJ per mole of atoms): -153.2
! Calculated volume (Å³/cell): 319.61
&SYSTEM
  ibrav = 0, nat = 12, ntyp = 4
/
ATOMIC_SPECIES
K 39.10 K.upf
Li 6.94 Li.upf
Ce 140.12 Ce.upf
S 32.06 S.upf
CELL_PARAMETERS angstrom
3.558 -6.166 0.000
3.558 6.166 0.000
-2.357 0.000 7.283
ATOMIC_POSITIONS angstrom
K 0.000 0.000 0.000
K 3.558 1.977 0.000
K 3.558 -1.977 0.000
Li 2.380 0.000 3.642
Ce 2.380 4.105 3.642
Ce 2.380 -4.105 3.642
S 1.139 2.148 2.174
S -0.082 0.000 5.089
S 1.139 -2.148 2.174
S 3.622 2.148 5.109
S 4.842 0.000 2.194
S 3.622 -2.148 5.109

! PBE KLiCeS3, relaxed; values from VASP
! ΔE_f (raw) (kJ per mole of atoms): -152.7
! Calculated volume (Å³/cell): 319.05
&SYSTEM
  ibrav = 0, nat = 12, ntyp = 4
/
ATOMIC_SPECIES
K 39.10 K.upf
Li 6.94 Li.upf
Ce 140.12 Ce.upf
S 32.06 S.upf
CELL_PARAMETERS angstrom
8.798 0.000 0.000
0.000 4.155 0.000
-2.368 0.000 8.728
ATOMIC_POSITIONS angstrom
K 1.186 1.039 2.167
K 5.244 3.116 6.560
Li -0.691 1.039 5.163
Li 7.121 3.116 3.565
Ce 0.848 3.116 7.325
Ce 5.582 1.039 1.402
S -0.900 1.039 7.572
S 0.471 3.116 4.703
S 3.716 3.116 1.354
S 2.714 1.039 7.373
S 5.959 1.039 4.024
S 7.330 3.116 1.155

! PBE K2Li2CeSe4, relaxed; values from VASP
! ΔE_f (raw) (kJ per mole of atoms): -138.5
! Calculated volume (Å³/cell): 243.93
&SYSTEM
  ibrav = 0, nat = 9, ntyp = 4
/
ATOMIC_SPECIES
K 39.10 K.upf
Li 6.94 Li.upf
Ce 140.12 Ce.upf
Se 78.96 Se.upf
CELL_PARAMETERS angstrom
7.751 -2.154 0.000
7.751 2.154 0.000
-2.688 0.000 7.305
ATOMIC_POSITIONS angstrom
K 1.979 0.000 0.473
K 10.835 0.000 6.832
Li 3.564 0.000 3.728
Li 9.250 0.000 3.577
Ce -1.344 0.000 3.652
Se 1.235 0.000 4.923
Se 5.532 0.000 5.377
Se 7.282 0.000 1.928
Se 11.579 0.000 2.382

! PBE KLi3Ce2Se6, relaxed; values from VASP
! ΔE_f (raw) (kJ per mole of atoms): -136.2
! Calculated volume (Å³/cell): 331.56
&SYSTEM
  ibrav = 0, nat = 12, ntyp = 4
/
ATOMIC_SPECIES
K 39.10 K.upf
Li 6.94 Li.upf
Ce 140.12 Ce.upf
Se 78.96 Se.upf
CELL_PARAMETERS angstrom
8.416 -2.121 0.000
8.416 2.121 0.000
-1.506 0.000 9.289
ATOMIC_POSITIONS angstrom
K 0.000 0.000 0.000
Li -0.753 0.000 4.644
Li 5.421 0.000 2.520
Li 9.906 0.000 6.769
Ce 4.658 0.000 6.201
Ce 10.668 0.000 3.087
Se 1.910 0.000 5.130
Se 3.051 0.000 1.401
Se 7.990 0.000 2.602
Se 7.337 0.000 6.687
Se 12.276 0.000 7.887
Se 13.417 0.000 4.159

! PBE KLiCe2Se4, relaxed; values from VASP
! ΔE_f (raw) (kJ per mole of atoms): -159.2
! Calculated volume (Å³/cell): 460.62
&SYSTEM
  ibrav = 0, nat = 16, ntyp = 4
/
ATOMIC_SPECIES
K 39.10 K.upf
Li 6.94 Li.upf
Ce 140.12 Ce.upf
Se 78.96 Se.upf
CELL_PARAMETERS angstrom
2.162 -7.168 0.000
2.162 7.168 0.000
0.000 0.000 14.863
ATOMIC_POSITIONS angstrom
K 2.162 5.608 11.147
K 2.162 -5.608 3.716
Li 2.162 4.843 3.716
Li 2.162 -4.843 11.147
Ce 2.162 1.893 8.328
Ce 2.162 1.893 13.966
Ce 2.162 -1.893 0.896
Ce 2.162 -1.893 6.535
Se 0.000 0.000 0.000
Se 0.000 0.000 7.431
Se 2.162 3.394 1.646
Se 2.162 3.394 5.786
Se 2.162 1.005 11.147
Se 2.162 -1.005 3.716
Se 2.162 -3.394 9.077
Se 2.162 -3.394 13.217

! PBE K3LiCe3Se8, relaxed; values from VASP
! ΔE_f (raw) (kJ per mole of atoms): -143.8
! Calculated volume (Å³/cell): 478.10
&SYSTEM
  ibrav = 0, nat = 15, ntyp = 4
/
ATOMIC_SPECIES
K 39.10 K.upf
Li 6.94 Li.upf
Ce 140.12 Ce.upf
Se 78.96 Se.upf
CELL_PARAMETERS angstrom
4.244 2.450 7.665
-4.244 2.450 7.665
0.000 -4.900 7.665
ATOMIC_POSITIONS angstrom
K -2.122 -1.225 7.665
K -2.122 1.225 15.330
K 0.000 2.450 7.665
Li 0.000 0.000 11.497
Ce -4.244 0.000 11.497
Ce -2.122 1.225 3.832
Ce 2.122 1.225 3.832
Se -2.181 -1.259 12.998
Se 0.000 0.000 5.439
Se 0.000 -2.518 9.996
Se -2.181 1.259 9.996
Se 2.181 -1.259 12.998
Se 0.000 2.518 12.998
Se 0.000 0.000 17.556
Se 2.181 1.259 9.996